Compound: Rb2CaPu3O12
Source: the Alexandria database
Functional: PBE-GGA
Structure: relaxed

**Energy**: -8.357 eV/atom
**Magnetic moment**: 0.22 μB per atom
**Energy relative to the elements, uncorrected**: -2.444 eV/atom

Cell: 8.0035 8.0035 18.3046 Å, 90.00 90.00 120.00°
With the nearest neighbours (Å) after each atom.
Space group R-3m (No. 166, hexagonal axes)
Asymmetric unit:
Rb (0.0000, 0.0000, 0.1230) x6  6 O 3.27-3.50
Ca (0.0000, 0.0000, 0.5000) x3  6 O 2.35
Pu (0.0000, 0.5000, 0.0000) x9  6 O 1.88-2.10
O (0.0404, 0.5202, 0.1017) x18  1 Pu 1.88
O (0.0789, 0.5395, 0.3461) x18  2 Pu 2.10

***

Compound: Ba2In2Bi5
Source: the Alexandria database
Functional: PBE-GGA
Structure: relaxed

**Energy of formation**: -407.3 meV per atom
**Energy**: -3.599 eV/atom
**Magnetic moment**: 0.00 μB per atom

Cell: 5.1335 5.1335 11.9199 Å, 90.00 90.00 90.00°
With the nearest neighbours (Å) after each atom.
Space group P4/mmm (No. 123)
Asymmetric unit:
Ba (0.0000, 0.0000, 0.0000) x1  8 In 3.89, 8 Bi 4.10
Ba (0.0000, 0.0000, 0.5000) x1  12 Bi 3.63-3.77
In (0.5000, 0.5000, 0.1184) x2  1 In 2.82, 4 Bi 3.13
Bi (0.0000, 0.5000, 0.2684) x4  2 In 3.13
Bi (0.5000, 0.5000, 0.5000) x1  4 Ba 3.63, 8 Bi 3.77

***

Compound: PmNdAlAg
Source: the Alexandria database
Functional: PBE-GGA
Structure: relaxed

**Energy of formation**: -288.9 meV per atom
**Energy**: -4.317 eV/atom
**Magnetic moment**: 0.00 μB per atom
**Energy above the lowest structure with this stoichiometry**: 29 meV per atom

Cell: 7.5053 7.5053 7.5053 Å, 90.00 90.00 90.00°
With the nearest neighbours (Å) after each atom.
Space group F-43m (No. 216)
Asymmetric unit:
Pm (0.0000, 0.0000, 0.0000) x4  4 Al 3.25, 4 Ag 3.25
Nd (0.0000, 0.0000, 0.5000) x4  4 Al 3.25, 4 Ag 3.25
Al (0.2500, 0.2500, 0.7500) x4  4 Nd 3.25, 4 Pm 3.25
Ag (0.2500, 0.2500, 0.2500) x4  4 Nd 3.25, 4 Pm 3.25

***

Compound: AcPm4Co2
Source: the Alexandria database
Functional: PBE-GGA
Structure: relaxed

**Energy of formation**: -6.6 meV per atom
**Energy**: -5.338 eV/atom
**Magnetic moment**: 0.00 μB per atom

Cell: 7.0095 6.8014 9.0620 Å, 90.00 112.31 90.00°
With the nearest neighbours (Å) after each atom.
Space group P2_1/m (No. 11)
Asymmetric unit:
Ac (0.2352, 0.2500, 0.2011) x2  1 Co 2.66
Pm (0.0199, 0.2500, 0.7815) x2  1 Co 2.57
Pm (0.2793, 0.0004, 0.5641) x4  4 Co 2.77-2.95
Pm (0.3363, 0.7500, 0.9993) x2  2 Co 2.95-2.98
Co (0.0384, 0.7500, 0.6611) x2  1 Ac 2.66, 4 Pm 2.77-2.92
Co (0.3769, 0.7500, 0.3357) x2  3 Pm 2.57-2.80

***

Compound: Np3U
Source: the Alexandria database
Functional: PBE-GGA
Structure: relaxed

**Energy of formation**: 291.7 meV per atom
**Energy**: -12.236 eV/atom
**Magnetic moment**: 0.00 μB per atom
**Energy above the lowest structure with this stoichiometry**: 144 meV per atom

Cell: 3.6427 8.1098 5.2271 Å, 90.00 90.00 90.00°
With the nearest neighbours (Å) after each atom.
Space group Imm2 (No. 44)
Asymmetric unit:
Np (0.0000, 0.0000, 0.0000) x2  4 Np 2.57, 2 U 2.81
Np (0.0000, 0.3114, 0.3120) x4  2 Np 2.57, 1 U 2.61
U (0.0000, 0.5000, 0.9083) x2  4 Np 2.61-2.81

***

Compound: NbAg3S
Source: the Alexandria database
Functional: PBE-GGA
Structure: relaxed

**Energy**: -3.583 eV/atom
**Magnetic moment**: 0.72 μB per atom
**Energy relative to the elements, uncorrected**: 0.968 eV/atom
**Energy above the lowest structure with this stoichiometry**: 0 meV per atom

Cell: 4.7939 4.7939 4.7939 Å, 90.00 90.00 90.00°
With the nearest neighbours (Å) after each atom.
Space group Pm-3m (No. 221)
Asymmetric unit:
Nb (0.0000, 0.0000, 0.0000) x1  12 Ag 3.39
Ag (0.0000, 0.5000, 0.5000) x3  2 S 2.40
S (0.5000, 0.5000, 0.5000) x1  6 Ag 2.40

***

Compound: Ac4Pr2Y3
Source: the Alexandria database
Functional: PBE-GGA
Structure: relaxed

**Energy of formation**: 41.6 meV per atom
**Energy**: -5.001 eV/atom
**Magnetic moment**: 0.00 μB per atom

Cell: 11.8180 5.4188 11.3416 Å, 90.00 107.10 90.00°
With the nearest neighbours (Å) after each atom.
Space group C2/m (No. 12)
Asymmetric unit:
Ac (0.0046, 0.0000, 0.3342) x4  6 Y 3.73-3.82, 3 Pr 3.75-3.77, 3 Ac 3.79-3.84
Ac (0.1662, 0.5000, 0.8881) x4  4 Y 3.77-3.82, 4 Pr 3.77-3.83, 4 Ac 3.84
Pr (0.1705, 0.5000, 0.2268) x4  5 Y 3.69-3.87, 7 Ac 3.75-3.83
Y (0.0000, 0.0000, 0.0000) x2  8 Ac 3.77-3.78, 4 Pr 3.87
Y (0.1651, 0.5000, 0.5505) x4  3 Pr 3.69-3.82, 3 Y 3.73-3.75, 6 Ac 3.73-3.82

***

Compound: V12Ga6Ru
Source: the Alexandria database
Functional: PBE-GGA
Structure: relaxed

**Energy of formation**: -65.5 meV per atom
**Energy**: -7.269 eV/atom
**Magnetic moment**: 0.00 μB per atom

Cell: 9.1132 9.1132 11.2302 Å, 90.00 90.00 120.00°
With the nearest neighbours (Å) after each atom.
Space group R-3 (No. 148, hexagonal axes)
Asymmetric unit:
V (0.0537, 0.1856, 0.3052) x18  4 V 2.52-2.67, 1 Ru 2.66, 4 Ga 2.66-2.81
V (0.0709, 0.8488, 0.9146) x18  4 Ga 2.54-2.71, 4 V 2.62-2.67
Ga (0.0277, 0.4393, 0.2110) x18  8 V 2.54-2.81, 1 Ru 2.55, 2 Ga 2.70
Ru (0.0000, 0.0000, 0.5000) x3  6 Ga 2.55, 6 V 2.66

***

Compound: Dy3SiNi9Ge2
Source: the Alexandria database
Functional: PBE-GGA
Structure: relaxed

**Energy**: -5.631 eV/atom
**Magnetic moment**: 0.00 μB per atom
**Energy relative to the elements, uncorrected**: -0.264 eV/atom

Cell: 6.0157 6.0157 8.0217 Å, 90.00 90.00 120.00°
With the nearest neighbours (Å) after each atom.
Space group P-3m1 (No. 164)
Asymmetric unit:
Dy (0.0000, 0.0000, 0.0000) x1  12 Ni 2.70-3.01
Dy (0.3333, 0.6667, 0.6735) x2  9 Ni 3.04-3.14
Si (0.0000, 0.0000, 0.5000) x1  6 Ni 2.21
Ni (0.0000, 0.5000, 0.0000) x3  2 Ge 2.33
Ni (0.1351, 0.2701, 0.2879) x6  1 Ge 2.20, 1 Si 2.21, 2 Ni 2.44
Ge (0.3333, 0.6667, 0.1930) x2  6 Ni 2.20-2.33

***

Compound: Y2BiF11
Source: the Alexandria database
Functional: PBE-GGA
Structure: relaxed

**Energy**: -5.734 eV/atom
**Magnetic moment**: 0.00 μB per atom
**Energy relative to the elements, uncorrected**: -3.063 eV/atom

Cell: 8.0183 10.3182 10.9384 Å, 90.00 90.00 90.00°
With the nearest neighbours (Å) after each atom.
Space group Ibam (No. 72)
Asymmetric unit:
Y (0.1363, 0.1818, 0.0000) x8  7 F 2.13-2.33
Bi (0.0000, 0.5000, 0.2500) x4  8 F 2.15-2.16
F (0.0000, 0.0000, 0.0000) x4  2 Y 2.17
F (0.0931, 0.3345, 0.1509) x16  1 Bi 2.16, 1 Y 2.31
F (0.1284, 0.2218, 0.5000) x8  2 Y 2.13-2.16
F (0.2078, 0.4360, 0.3582) x16  1 Bi 2.15, 1 Y 2.33

***

Compound: LaCF3
Source: the Alexandria database
Functional: PBE-GGA
Structure: relaxed

**Energy**: -5.666 eV/atom
**Magnetic moment**: 0.40 μB per atom
**Energy relative to the elements, uncorrected**: -1.713 eV/atom
**Energy above the lowest structure with this stoichiometry**: 0 meV per atom

Cell: 4.6906 4.6906 4.6906 Å, 90.00 90.00 90.00°
With the nearest neighbours (Å) after each atom.
Space group Pm-3m (No. 221)
Asymmetric unit:
La (0.0000, 0.0000, 0.0000) x1  6 F 2.35
C (0.5000, 0.5000, 0.5000) x1  12 F 3.32
F (0.0000, 0.0000, 0.5000) x3  2 La 2.35

***

Compound: La2ZnRe
Source: the Alexandria database
Functional: PBE-GGA
Structure: relaxed

**Energy of formation**: 324.7 meV per atom
**Energy**: -5.570 eV/atom
**Magnetic moment**: 0.00 μB per atom

Cell: 7.0520 7.0520 7.0520 Å, 90.00 90.00 90.00°
With the nearest neighbours (Å) after each atom.
Space group F-43m (No. 216)
Asymmetric unit:
La (0.0000, 0.0000, 0.0000) x4  4 La 3.05, 4 Zn 3.05
La (0.2500, 0.2500, 0.2500) x4  4 La 3.05, 4 Re 3.05
Zn (0.2500, 0.2500, 0.7500) x4  4 La 3.05, 4 Re 3.05
Re (0.0000, 0.0000, 0.5000) x4  4 La 3.05, 4 Zn 3.05